Material: MoRu3Au
Method: DFT, PBE
State: relaxed

a b c (Å): 4.6434 4.6434 4.6434
angles (deg): 90.00 90.00 90.00
With the nearest neighbours (Å) after each atom.
Space group Pm-3m (No. 221)
Inequivalent atoms, fractional coordinates:
1 Mo 0.0000 0.0000 0.0000 (multiplicity 1)  6 Ru 2.32
2 Ru 0.0000 0.0000 0.5000 (multiplicity 3)  2 Mo 2.32
3 Au 0.5000 0.5000 0.5000 (multiplicity 1)  12 Ru 3.28

Calculated formation energy = 1.582 eV per atom


Material: MoRu2Au
Method: DFT, PBE
State: relaxed

a b c (Å): 6.3036 6.3036 6.3036
angles (deg): 90.00 90.00 90.00
With the nearest neighbours (Å) after each atom.
Space group F-43m (No. 216)
Inequivalent atoms, fractional coordinates:
1 Mo 0.0000 0.0000 0.0000 (multiplicity 4)  4 Au 2.73, 4 Ru 2.73
2 Ru 0.0000 0.0000 0.5000 (multiplicity 4)  4 Ru 2.73, 4 Au 2.73
3 Ru 0.2500 0.2500 0.2500 (multiplicity 4)  4 Mo 2.73, 4 Ru 2.73
4 Au 0.2500 0.2500 0.7500 (multiplicity 4)  4 Mo 2.73, 4 Ru 2.73

Calculated formation energy = 0.553 eV per atom


Material: MoRuAu
Method: DFT, PBE
State: relaxed

a b c (Å): 4.3994 4.3994 2.8707
angles (deg): 90.00 90.00 120.00
With the nearest neighbours (Å) after each atom.
Space group P3m1 (No. 156)
Inequivalent atoms, fractional coordinates:
1 Mo 0.0000 0.0000 0.0000 (multiplicity 1)  3 Ru 2.56, 3 Au 2.84
2 Ru 0.3333 0.6667 0.1151 (multiplicity 1)  3 Mo 2.56, 3 Au 2.84
3 Au 0.6667 0.3333 0.5555 (multiplicity 1)  6 Ru 2.84-3.01, 6 Mo 2.84-3.00, 2 Au 2.87

Calculated formation energy = 0.291 eV per atom


Material: MoRu2Au
Method: DFT, PBE
State: relaxed

a b c (Å): 7.0732 7.0732 5.5031
angles (deg): 90.00 90.00 90.00
With the nearest neighbours (Å) after each atom.
Space group I-42d (No. 122)
Inequivalent atoms, fractional coordinates:
1 Mo 0.0000 0.0000 0.0000 (multiplicity 4)  4 Ru 2.40
2 Ru 0.2087 0.2500 0.1250 (multiplicity 8)  2 Mo 2.40
3 Au 0.0000 0.0000 0.5000 (multiplicity 4)  2 Mo 2.75, 4 Ru 2.80

Calculated formation energy = 0.628 eV per atom


Material: MoRu2Au
Method: DFT, PBE
State: relaxed

a b c (Å): 2.7772 2.7772 27.7886
angles (deg): 90.00 90.00 120.00
With the nearest neighbours (Å) after each atom.
Space group R-3m (No. 166, hexagonal axes)
Inequivalent atoms, fractional coordinates:
1 Mo 0.0000 0.0000 0.0000 (multiplicity 3)  6 Ru 2.70, 6 Mo 2.78
2 Ru 0.0000 0.0000 0.2552 (multiplicity 6)  3 Mo 2.70, 6 Ru 2.78, 3 Au 2.94
3 Au 0.0000 0.0000 0.5000 (multiplicity 3)  6 Au 2.78, 6 Ru 2.94

Calculated formation energy = 0.166 eV per atom


Material: MoRu2Au
Method: DFT, PBE
State: relaxed

a b c (Å): 2.7876 2.7876 7.9629
angles (deg): 90.00 90.00 90.00
With the nearest neighbours (Å) after each atom.
Space group P4/mmm (No. 123)
Inequivalent atoms, fractional coordinates:
1 Mo 0.0000 0.0000 0.0000 (multiplicity 1)  8 Ru 2.71, 4 Mo 2.79
2 Ru 0.5000 0.5000 0.2327 (multiplicity 2)  4 Mo 2.71, 4 Ru 2.79, 4 Au 2.90
3 Au 0.0000 0.0000 0.5000 (multiplicity 1)  4 Au 2.79, 8 Ru 2.90

Calculated formation energy = 0.215 eV per atom


Material: MoRu2Au
Method: DFT, PBE
State: relaxed

a b c (Å): 2.7464 2.7464 8.1690
angles (deg): 90.00 90.00 90.00
With the nearest neighbours (Å) after each atom.
Space group P4mm (No. 99)
Inequivalent atoms, fractional coordinates:
1 Mo 0.0000 0.0000 0.0000 (multiplicity 1)  4 Mo 2.75, 4 Ru 2.86, 4 Au 2.90
2 Ru 0.0000 0.0000 0.4674 (multiplicity 1)  8 Ru 2.59-2.75
3 Ru 0.5000 0.5000 0.2570 (multiplicity 1)  8 Ru 2.59-2.75, 4 Mo 2.86
4 Au 0.5000 0.5000 0.7366 (multiplicity 1)  4 Au 2.75, 4 Mo 2.90, 4 Ru 2.93

Calculated formation energy = 0.203 eV per atom


Material: MoRu2Au
Method: DFT, PBE
State: relaxed

a b c (Å): 2.7824 2.7824 27.5928
angles (deg): 90.00 90.00 120.00
With the nearest neighbours (Å) after each atom.
Space group R3m (No. 160, hexagonal axes)
Inequivalent atoms, fractional coordinates:
1 Mo 0.0000 0.0000 0.0000 (multiplicity 3)  3 Ru 2.72, 6 Mo 2.78, 3 Au 2.94
2 Ru 0.0000 0.0000 0.2537 (multiplicity 3)  9 Ru 2.66-2.78, 3 Mo 2.72
3 Ru 0.0000 0.0000 0.5103 (multiplicity 3)  9 Ru 2.66-2.78, 3 Au 2.90
4 Au 0.0000 0.0000 0.7559 (multiplicity 3)  6 Au 2.78, 3 Ru 2.90, 3 Mo 2.94

Calculated formation energy = 0.254 eV per atom


Material: MoRuAu
Method: DFT, PBE
State: relaxed

a b c (Å): 6.0686 6.0686 6.0686
angles (deg): 90.00 90.00 90.00
With the nearest neighbours (Å) after each atom.
Space group F-43m (No. 216)
Inequivalent atoms, fractional coordinates:
1 Mo 0.0000 0.0000 0.0000 (multiplicity 4)  4 Ru 2.63
2 Ru 0.2500 0.2500 0.2500 (multiplicity 4)  4 Mo 2.63, 4 Au 2.63
3 Au 0.0000 0.0000 0.5000 (multiplicity 4)  4 Ru 2.63

Calculated formation energy = 0.684 eV per atom


Material: MoRuAu4
Method: DFT, PBE
State: relaxed

a b c (Å): 7.5971 7.5971 7.5971
angles (deg): 90.00 90.00 90.00
With the nearest neighbours (Å) after each atom.
Space group F-43m (No. 216)
Inequivalent atoms, fractional coordinates:
1 Mo 0.0000 0.0000 0.0000 (multiplicity 4)  12 Au 3.15, 4 Ru 3.29
2 Ru 0.2500 0.2500 0.7500 (multiplicity 4)  12 Au 3.15, 4 Mo 3.29
3 Au 0.1249 0.1249 0.3751 (multiplicity 16)  6 Au 2.68-2.69

Calculated formation energy = 0.714 eV per atom


Material: MoRuAu
Method: DFT, PBE
State: relaxed

a b c (Å): 2.8700 2.8700 11.6707
angles (deg): 90.00 90.00 90.00
With the nearest neighbours (Å) after each atom.
Space group I4mm (No. 107)
Inequivalent atoms, fractional coordinates:
1 Mo 0.0000 0.0000 0.0000 (multiplicity 2)  4 Ru 2.60, 4 Mo 2.87
2 Ru 0.0000 0.0000 0.6397 (multiplicity 2)  4 Mo 2.60, 4 Ru 2.87
3 Au 0.0000 0.0000 0.3192 (multiplicity 2)  4 Au 2.87, 4 Ru 2.92, 4 Mo 2.93

Calculated formation energy = 0.152 eV per atom


Material: MoRu2Au
Method: DFT, PBE
State: relaxed

a b c (Å): 3.2124 3.2124 6.0845
angles (deg): 90.00 90.00 90.00
With the nearest neighbours (Å) after each atom.
Space group P4/mmm (No. 123)
Inequivalent atoms, fractional coordinates:
1 Mo 0.0000 0.0000 0.0000 (multiplicity 1)  8 Ru 2.65
2 Ru 0.5000 0.5000 0.2244 (multiplicity 2)  4 Mo 2.65, 1 Ru 2.73, 4 Au 2.82
3 Au 0.0000 0.0000 0.5000 (multiplicity 1)  8 Ru 2.82, 2 Mo 3.04

Calculated formation energy = 0.273 eV per atom


Material: MoRu2Au
Method: DFT, PBE
State: relaxed

a b c (Å): 2.8024 3.8349 5.7325
angles (deg): 90.00 90.00 90.00
With the nearest neighbours (Å) after each atom.
Space group Pmmm (No. 47)
Inequivalent atoms, fractional coordinates:
1 Mo 0.0000 0.0000 0.0000 (multiplicity 1)  8 Ru 2.72, 2 Mo 2.80, 2 Au 2.87
2 Ru 0.5000 0.5000 0.2296 (multiplicity 2)  3 Ru 2.63-2.80, 4 Mo 2.72, 4 Au 2.84
3 Au 0.0000 0.0000 0.5000 (multiplicity 1)  2 Au 2.80, 8 Ru 2.84, 2 Mo 2.87

Calculated formation energy = 0.209 eV per atom


Material: MoRuAu
Method: DFT, PBE
State: relaxed

a b c (Å): 2.8544 3.8601 8.5704
angles (deg): 90.00 90.00 90.00
With the nearest neighbours (Å) after each atom.
Space group Imm2 (No. 44)
Inequivalent atoms, fractional coordinates:
1 Mo 0.0000 0.0000 0.0000 (multiplicity 2)  5 Ru 2.71-3.02, 5 Au 2.77-2.84, 2 Mo 2.85
2 Ru 0.0000 0.0000 0.6475 (multiplicity 2)  5 Mo 2.71-3.02, 5 Au 2.78-2.83, 2 Ru 2.85
3 Au 0.0000 0.0000 0.3234 (multiplicity 2)  5 Mo 2.77-2.84, 5 Ru 2.78-2.83, 2 Au 2.85

Calculated formation energy = 0.164 eV per atom


Material: MoRu2AuSe
Method: DFT, PBE
State: relaxed

a b c (Å): 4.5004 4.5004 4.8795
angles (deg): 90.00 90.00 90.00
With the nearest neighbours (Å) after each atom.
Space group P4/mmm (No. 123)
Inequivalent atoms, fractional coordinates:
1 Mo 0.0000 0.0000 0.0000 (multiplicity 1)  4 Au 3.18, 8 Ru 3.32
2 Ru 0.0000 0.5000 0.5000 (multiplicity 2)  2 Se 2.25
3 Au 0.5000 0.5000 0.0000 (multiplicity 1)  2 Se 2.44
4 Se 0.5000 0.5000 0.5000 (multiplicity 1)  4 Ru 2.25, 2 Au 2.44

Formation energy from raw total energies = 126 kJ/mol of atoms


Material: YMoRuAu2
Method: DFT, PBE
State: relaxed

a b c (Å): 5.1244 5.1244 4.8249
angles (deg): 90.00 90.00 90.00
With the nearest neighbours (Å) after each atom.
Space group P4/mmm (No. 123)
Inequivalent atoms, fractional coordinates:
1 Y 0.0000 0.0000 0.0000 (multiplicity 1)  2 Ru 2.41
2 Mo 0.5000 0.5000 0.0000 (multiplicity 1)  8 Au 3.52, 4 Y 3.62
3 Ru 0.0000 0.0000 0.5000 (multiplicity 1)  2 Y 2.41, 4 Au 2.56
4 Au 0.0000 0.5000 0.5000 (multiplicity 2)  2 Ru 2.56

Calculated formation energy = 1.086 eV per atom


Material: YMoRuAu2
Method: DFT, PBE
State: relaxed

a b c (Å): 5.0771 5.0771 4.5824
angles (deg): 90.00 90.00 90.00
With the nearest neighbours (Å) after each atom.
Space group P4/mmm (No. 123)
Inequivalent atoms, fractional coordinates:
1 Y 0.0000 0.0000 0.0000 (multiplicity 1)  8 Au 3.42, 4 Ru 3.59
2 Mo 0.5000 0.5000 0.5000 (multiplicity 1)  2 Ru 2.29, 4 Au 2.54
3 Ru 0.5000 0.5000 0.0000 (multiplicity 1)  2 Mo 2.29
4 Au 0.0000 0.5000 0.5000 (multiplicity 2)  2 Mo 2.54

Calculated formation energy = 0.579 eV per atom


Material: ZnMoRuAu2
Method: DFT, PBE
State: relaxed

a b c (Å): 5.0728 5.0728 4.5396
angles (deg): 90.00 90.00 90.00
With the nearest neighbours (Å) after each atom.
Space group P4/mmm (No. 123)
Inequivalent atoms, fractional coordinates:
1 Zn 0.0000 0.0000 0.0000 (multiplicity 1)  8 Au 3.40, 4 Mo 3.59
2 Mo 0.5000 0.5000 0.0000 (multiplicity 1)  2 Ru 2.27
3 Ru 0.5000 0.5000 0.5000 (multiplicity 1)  2 Mo 2.27, 4 Au 2.54
4 Au 0.0000 0.5000 0.5000 (multiplicity 2)  2 Ru 2.54

Calculated formation energy = 1.221 eV per atom


Material: Zr2MoRuAu
Method: DFT, PBE
State: relaxed

a b c (Å): 5.0874 5.0874 4.7554
angles (deg): 90.00 90.00 90.00
With the nearest neighbours (Å) after each atom.
Space group P4/mmm (No. 123)
Inequivalent atoms, fractional coordinates:
1 Zr 0.0000 0.5000 0.0000 (multiplicity 2)  2 Au 2.54
2 Mo 0.0000 0.0000 0.5000 (multiplicity 1)  2 Au 2.38
3 Ru 0.5000 0.5000 0.5000 (multiplicity 1)  8 Zr 3.48, 4 Mo 3.60
4 Au 0.0000 0.0000 0.0000 (multiplicity 1)  2 Mo 2.38, 4 Zr 2.54

Calculated formation energy = 1.535 eV per atom


Material: MoAuS2
Method: DFT, PBE
State: relaxed

a b c (Å): 5.6738 5.6738 10.6640
angles (deg): 90.00 90.00 90.00
With the nearest neighbours (Å) after each atom.
Space group I-42d (No. 122)
Inequivalent atoms, fractional coordinates:
1 Mo 0.0000 0.0000 0.0000 (multiplicity 4)  4 S 2.30
2 Au 0.0000 0.0000 0.5000 (multiplicity 4)  4 S 2.52
3 S 0.2169 0.2500 0.1250 (multiplicity 8)  2 Mo 2.30, 2 Au 2.52

Formation energy from raw total energies = 2 kJ/mol of atoms